Entry 1:
# AuICl2 | Alexandria via LeMat-Bulk | GGA-PBE | relaxed
# Formation energy (no corrections) (kJ/mol of atoms): -20
# Space-group type: No. 62
# Total magnetic moment (μB per atom): 0.00
data_AuICl2
_chemical_formula_sum 'Au4 I4 Cl8'
_cell_length_a 8.3513
_cell_length_b 7.7677
_cell_length_c 8.7168
_cell_angle_alpha 90.00
_cell_angle_beta 90.00
_cell_angle_gamma 90.00
_symmetry_space_group_name_H-M 'P 1'
_symmetry_Int_Tables_number 1
_symmetry_space_group_name_Hall 'P 1'
loop_
_atom_site_label
_atom_site_fract_x
_atom_site_fract_y
_atom_site_fract_z
Cl1 0.8492 0.2862 0.5711
Cl2 0.9010 0.7138 0.4293
Cl3 0.3492 0.7862 0.9289
Cl4 0.4010 0.2862 0.5707
Cl5 0.8492 0.2138 0.0711
Cl6 0.3492 0.7138 0.4289
Cl7 0.4010 0.2138 0.0707
Cl8 0.9010 0.7862 0.9293
Au1 0.8750 0.0000 0.5001
Au2 0.3750 0.5000 0.9999
Au3 0.8750 0.5000 0.0001
Au4 0.3750 0.0000 0.4999
I1 0.1250 0.0885 0.3183
I2 0.1250 0.4115 0.8183
I3 0.6250 0.9115 0.6817
I4 0.6250 0.5885 0.1817

***

Entry 2:
# ErZnCdPt | Alexandria via LeMat-Bulk | GGA-PBE | relaxed
# Space-group type: No. 216
# Total magnetic moment (μB per atom): 0.00
# Formation energy from the elements (eV/atom): -0.60
data_ErZnCdPt
_chemical_formula_sum 'Er1 Zn1 Cd1 Pt1'
_cell_length_a 4.7877
_cell_length_b 4.7877
_cell_length_c 4.7877
_cell_angle_alpha 60.00
_cell_angle_beta 60.00
_cell_angle_gamma 60.00
_symmetry_space_group_name_H-M 'P 1'
_symmetry_Int_Tables_number 1
_symmetry_space_group_name_Hall 'P 1'
loop_
_atom_site_label
_atom_site_fract_x
_atom_site_fract_y
_atom_site_fract_z
Zn1 0.2500 0.2500 0.2500
Pt1 0.7500 0.7500 0.7500
Cd1 0.0000 0.0000 0.0000
Er1 0.5000 0.5000 0.5000

***

Entry 3:
# NaLa5Pr4 | Alexandria via LeMat-Bulk | GGA-PBE | relaxed
# Space-group type: No. 123
# Total magnetic moment (μB per atom): 0.00
# Formation energy from the elements (eV/atom): 0.04
data_NaLa5Pr4
_chemical_formula_sum 'Na1 La5 Pr4'
_cell_length_a 3.7020
_cell_length_b 3.7020
_cell_length_c 26.8846
_cell_angle_alpha 90.00
_cell_angle_beta 90.00
_cell_angle_gamma 90.00
_symmetry_space_group_name_H-M 'P 1'
_symmetry_Int_Tables_number 1
_symmetry_space_group_name_Hall 'P 1'
loop_
_atom_site_label
_atom_site_fract_x
_atom_site_fract_y
_atom_site_fract_z
Na1 0.0000 0.0000 0.0000
Pr1 0.0000 0.0000 0.5985
Pr2 0.0000 0.0000 0.7972
Pr3 0.0000 0.0000 0.4015
Pr4 0.0000 0.0000 0.2028
La1 0.5000 0.5000 0.8927
La2 0.5000 0.5000 0.1073
La3 0.5000 0.5000 0.3015
La4 0.5000 0.5000 0.5000
La5 0.5000 0.5000 0.6985

***

Entry 4:
# PmSmAg6 | Alexandria via LeMat-Bulk | GGA-PBE | relaxed
# Space-group type: No. 38
# Total magnetic moment (μB per atom): 0.00
# Formation energy from the elements (eV/atom): -0.19
data_PmSmAg6
_chemical_formula_sum 'Pm1 Sm1 Ag6'
_cell_length_a 4.8958
_cell_length_b 6.3651
_cell_length_c 6.3651
_cell_angle_alpha 117.35
_cell_angle_beta 90.00
_cell_angle_gamma 90.00
_symmetry_space_group_name_H-M 'P 1'
_symmetry_Int_Tables_number 1
_symmetry_space_group_name_Hall 'P 1'
loop_
_atom_site_label
_atom_site_fract_x
_atom_site_fract_y
_atom_site_fract_z
Ag1 0.5000 0.8898 0.5504
Ag2 0.5000 0.4496 0.1102
Ag3 0.0000 0.0491 0.3894
Ag4 0.0000 0.6106 0.9509
Ag5 0.5000 0.9104 0.0896
Ag6 0.0000 0.5904 0.4096
Pm1 0.5000 0.4061 0.5939
Sm1 0.0000 0.0937 0.9063

***

Entry 5:
# LiGeAs2Se | Alexandria via LeMat-Bulk | GGA-PBE | relaxed
# Formation energy (no corrections) (kJ/mol of atoms): 38
# Space-group type: No. 123
# Total magnetic moment (μB per atom): 0.15
data_LiGeAs2Se
_chemical_formula_sum 'Li1 Ge1 As2 Se1'
_cell_length_a 4.9842
_cell_length_b 4.9842
_cell_length_c 5.1728
_cell_angle_alpha 90.00
_cell_angle_beta 90.00
_cell_angle_gamma 90.00
_symmetry_space_group_name_H-M 'P 1'
_symmetry_Int_Tables_number 1
_symmetry_space_group_name_Hall 'P 1'
loop_
_atom_site_label
_atom_site_fract_x
_atom_site_fract_y
_atom_site_fract_z
Li1 0.5000 0.5000 0.5000
Se1 0.0000 0.0000 0.5000
As1 0.5000 0.0000 0.0000
As2 0.0000 0.5000 0.0000
Ge1 0.0000 0.0000 0.0000

***

Entry 6:
# MgAlI2 | Alexandria via LeMat-Bulk | GGA-PBE | relaxed
# Formation energy (no corrections) (kJ/mol of atoms): -8
# Space-group type: No. 122
# Total magnetic moment (μB per atom): 0.21
data_MgAlI2
_chemical_formula_sum 'Mg2 Al2 I4'
_cell_length_a 8.4320
_cell_length_b 8.4320
_cell_length_c 7.1075
_cell_angle_alpha 53.62
_cell_angle_beta 53.62
_cell_angle_gamma 90.00
_symmetry_space_group_name_H-M 'P 1'
_symmetry_Int_Tables_number 1
_symmetry_space_group_name_Hall 'P 1'
loop_
_atom_site_label
_atom_site_fract_x
_atom_site_fract_y
_atom_site_fract_z
Al1 0.0000 0.0000 0.0000
Al2 0.7500 0.2500 0.5000
I1 0.1674 0.6250 0.2500
I2 0.8750 0.8326 0.7500
I3 0.3750 0.4174 0.7500
I4 0.5826 0.1250 0.2500
Mg1 0.5000 0.5000 0.0000
Mg2 0.2500 0.7500 0.5000

***

Entry 7:
# Rb4Tb3NpTe8 | Alexandria via LeMat-Bulk | GGA-PBE | relaxed
# Formation energy (no corrections) (kJ/mol of atoms): -121
# Space-group type: No. 166
# Total magnetic moment (μB per atom): 0.25
data_Rb4Tb3NpTe8
_chemical_formula_sum 'Rb4 Tb3 Np1 Te8'
_cell_length_a 9.1338
_cell_length_b 10.0353
_cell_length_c 9.1333
_cell_angle_alpha 117.07
_cell_angle_beta 120.00
_cell_angle_gamma 90.00
_symmetry_space_group_name_H-M 'P 1'
_symmetry_Int_Tables_number 1
_symmetry_space_group_name_Hall 'P 1'
loop_
_atom_site_label
_atom_site_fract_x
_atom_site_fract_y
_atom_site_fract_z
Rb1 0.5000 0.0000 0.5000
Rb2 0.0000 0.0000 0.5000
Rb3 0.0000 0.0000 0.0000
Rb4 0.5000 0.0000 0.0000
Tb1 0.5000 0.5000 0.5000
Tb2 0.0000 0.5000 0.5000
Tb3 0.5000 0.5000 0.0000
Te1 0.7648 0.3001 0.5297
Te2 0.2667 0.3001 0.5334
Te3 0.2352 0.6999 0.9648
Te4 0.7648 0.3001 0.0352
Te5 0.7296 0.6999 0.9648
Te6 0.2704 0.3001 0.0352
Te7 0.7333 0.6999 0.4666
Te8 0.2352 0.6999 0.4703
Np1 0.0000 0.5000 0.0000

***

Entry 8:
# CsTaTe2I | Alexandria via LeMat-Bulk | GGA-PBE | relaxed
# Formation energy (no corrections) (kJ/mol of atoms): 194
# Space-group type: No. 123
# Total magnetic moment (μB per atom): 0.00
data_CsTaTe2I
_chemical_formula_sum 'Cs1 Ta1 Te2 I1'
_cell_length_a 6.1711
_cell_length_b 6.1711
_cell_length_c 6.5625
_cell_angle_alpha 90.00
_cell_angle_beta 90.00
_cell_angle_gamma 90.00
_symmetry_space_group_name_H-M 'P 1'
_symmetry_Int_Tables_number 1
_symmetry_space_group_name_Hall 'P 1'
loop_
_atom_site_label
_atom_site_fract_x
_atom_site_fract_y
_atom_site_fract_z
I1 0.0000 0.0000 0.5000
Cs1 0.0000 0.0000 0.0000
Te1 0.0000 0.5000 0.0000
Te2 0.5000 0.0000 0.0000
Ta1 0.5000 0.5000 0.5000

***

> What is the total magnetic moment in the fourth record?

0.00 μB per atom